No. 1
! CaMn2Pb | Alexandria via LeMat-Bulk | GGA-PBE | relaxed; values from VASP
&SYSTEM
  ibrav = 0, nat = 4, ntyp = 3
/
ATOMIC_SPECIES
Pb 207.20 Pb.upf
Mn 54.94 Mn.upf
Ca 40.08 Ca.upf
CELL_PARAMETERS angstrom
5.542 0.000 0.000
2.135 5.114 0.000
-3.838 -2.557 3.072
ATOMIC_POSITIONS crystal
Pb 0.500 0.500 0.000
Mn 0.250 0.750 0.500
Mn 0.000 0.000 0.000
Ca 0.750 0.250 0.500
! **Total DFT energy (no corrections)**: -5.658 eV/atom
! **Symmetry**: I-4m2, No. 119
! **Spin magnetization**: 7.37 μB/f.u.
! **DOS(E_F)**: 3.53 states/eV/cell
! **Calculated formation energy**: 354 meV/atom
! **ΔE to the lowest computed polymorph**: 245.0 meV/atom

No. 2
! LaCl2 | Alexandria via LeMat-Bulk | GGA-PBE | relaxed; values from VASP
&SYSTEM
  ibrav = 0, nat = 6, ntyp = 2
/
ATOMIC_SPECIES
Cl 35.45 Cl.upf
La 138.91 La.upf
CELL_PARAMETERS angstrom
7.685 0.019 -0.033
6.796 3.589 -0.033
2.280 0.568 6.664
ATOMIC_POSITIONS crystal
Cl 0.619 0.619 0.210
La 0.014 0.014 0.014
Cl 0.361 0.361 0.225
La 0.263 0.263 0.930
Cl 0.917 0.917 0.720
Cl 0.659 0.659 0.734
! **Total DFT energy (no corrections)**: -4.918 eV/atom
! **Raw formation energy**: -2044 meV per atom
! **Symmetry**: C2/m, No. 12
! **Spin magnetization**: 0.32 μB/f.u.
! **DOS(E_F)**: 2.96 states/eV/cell

No. 3
! NbGaO4 | Alexandria via LeMat-Bulk | GGA-PBE | relaxed; values from VASP
&SYSTEM
  ibrav = 0, nat = 6, ntyp = 3
/
ATOMIC_SPECIES
Nb 92.91 Nb.upf
O 16.00 O.upf
Ga 69.72 Ga.upf
CELL_PARAMETERS angstrom
-2.765 -2.814 4.471
5.119 -2.673 1.483
-0.243 5.982 -0.362
ATOMIC_POSITIONS crystal
Nb 0.500 0.500 0.000
O 0.665 0.374 0.252
O 0.122 0.335 0.748
Ga 0.750 0.250 0.500
O 0.626 0.414 0.748
O 0.586 0.878 0.252
! **Total DFT energy (no corrections)**: -7.715 eV/atom
! **Raw formation energy**: -2227 meV per atom
! **Symmetry**: I-4, No. 82
! **Spin magnetization**: 0.00 μB/f.u.
! **DOS(E_F)**: 0.00 states/eV/cell

No. 4
! La2TmZr | Alexandria via LeMat-Bulk | GGA-PBE | relaxed; values from VASP
&SYSTEM
  ibrav = 0, nat = 4, ntyp = 3
/
ATOMIC_SPECIES
La 138.91 La.upf
Zr 91.22 Zr.upf
Tm 168.93 Tm.upf
CELL_PARAMETERS angstrom
4.865 0.000 0.000
0.000 5.026 0.000
0.000 0.000 5.026
ATOMIC_POSITIONS crystal
La 0.000 0.500 0.000
La 0.000 0.000 0.500
Zr 0.500 0.000 0.000
Tm 0.500 0.500 0.500
! **Total DFT energy (no corrections)**: -5.592 eV/atom
! **Symmetry**: P4/mmm, No. 123
! **Spin magnetization**: 0.00 μB/f.u.
! **DOS(E_F)**: 4.45 states/eV/cell
! **Calculated formation energy**: 126 meV/atom
! **ΔE to the lowest computed polymorph**: 0.0 meV/atom